# TiBiHPt2 PBE-GGA optimized geometry
# Total magnetization in μB/f.u.: 0.00
# VASP energy in eV per cell: -27.72
# Density of states at the Fermi level in states/eV/f.u.: 1.53
data_TiBiHPt2
_chemical_formula_sum 'Ti1 Bi1 H1 Pt2'
_space_group_name_H-M_alt 'P 4/m m m'
_space_group_IT_number 123
_space_group_name_Hall '-P 4 2'
_cell_length_a 3.987
_cell_length_b 3.987
_cell_length_c 4.795
_cell_angle_alpha 90.00
_cell_angle_beta 90.00
_cell_angle_gamma 90.00
loop_
_atom_site_label
_atom_site_fract_x
_atom_site_fract_y
_atom_site_fract_z
Ti1 0.000 0.000 0.000
Bi1 0.500 0.500 0.000
H1 0.500 0.500 0.500
Pt1 0.000 0.500 0.500